(1)
# Cr2Co2Ge

A relaxed structure of Cr2Co2Ge (PBE, the Alexandria database).

```
Cr2Co2Ge
1.0
6.744 0.000 0.000
0.000 6.744 0.000
0.000 0.000 2.674
Cr Co Ge
4 4 2
Direct
0.170 0.330 0.000
0.330 0.830 0.000
0.670 0.170 0.000
0.830 0.670 0.000
0.125 0.625 0.500
0.375 0.125 0.500
0.625 0.875 0.500
0.875 0.375 0.500
0.000 0.000 0.500
0.500 0.500 0.500
```

## Properties
As for the calculated formation energy: 0.212 eV per atom.

---

(2)
# Cr5Co6Ge

A relaxed structure of Cr5Co6Ge (PBE, the Alexandria database).

```
Cr5Co6Ge
1.0
-2.014 2.864 6.057
2.014 -2.864 6.057
2.014 2.864 -6.057
Cr Co Ge
5 6 1
Direct
0.000 0.000 0.000
0.168 0.668 0.500
0.331 0.331 0.000
0.669 0.669 0.000
0.832 0.332 0.500
0.082 0.833 0.249
0.248 0.500 0.748
0.416 0.167 0.249
0.584 0.833 0.751
0.752 0.500 0.252
0.918 0.167 0.751
0.500 0.000 0.500
```

## Properties
As for the calculated formation energy: 0.073 eV per atom.

---

(3)
# Cr2CoGeH

A relaxed structure of Cr2CoGeH (PBE, the Alexandria database).

```
Cr2CoGeH
1.0
3.740 0.000 0.000
0.000 3.740 0.000
0.000 0.000 3.656
Cr Co Ge H
2 1 1 1
Direct
0.000 0.500 0.000
0.500 0.000 0.000
0.000 0.000 0.500
0.500 0.500 0.500
0.000 0.000 0.000
```

---

(4)
# Cr2CoGeN

A relaxed structure of Cr2CoGeN (PBE, the Alexandria database).

```
Cr2CoGeN
1.0
3.829 0.000 0.000
0.000 3.829 0.000
0.000 0.000 3.774
Cr Co Ge N
2 1 1 1
Direct
0.000 0.500 0.000
0.500 0.000 0.000
0.000 0.000 0.500
0.500 0.500 0.500
0.000 0.000 0.000
```

## Properties
The raw formation energy comes out at -0.201 eV per atom.

---

no.,raw total energy (eV/atom)
1,-7.403
2,-7.874
3,-6.862
4,-8.060